# TaV3Os

A geometry-optimized TaV3Os structure (GGA-PBE, the Alexandria database).

Output
As for the magnetic moment: 0.0 μB per formula unit. The value obtained for the formation energy is -0.203 eV per atom. The space-group type is P-1, No. 2.

Cell lengths 4.3395, 5.1296, 7.4832 Å; angles 103.68, 90.18, 114.92 degrees
Element x y z (fractional)
Ta 0.2475 0.4968 0.2462
Ta 0.7525 0.5032 0.7538
V 0.0561 0.1104 0.8517
V 0.3590 0.7170 0.9532
V 0.4495 0.8976 0.6491
V 0.5505 0.1024 0.3509
V 0.6410 0.2830 0.0468
V 0.9439 0.8896 0.1483
Os 0.1508 0.3010 0.5526
Os 0.8492 0.6990 0.4474

---

# SrGa3IrRu

A geometry-optimized SrGa3IrRu structure (GGA-PBE, the Alexandria database).

Output
As for the magnetic moment: 0.0 μB per formula unit. The value obtained for the formation energy is -0.356 eV per atom. The space-group type is Cmcm, No. 63.

Cell lengths 6.7745, 6.7745, 6.0360 Å; angles 90.00, 90.00, 108.97 degrees
Element x y z (fractional)
Sr 0.2463 0.7537 0.7500
Sr 0.7537 0.2463 0.2500
Ga 0.2467 0.2467 0.0000
Ga 0.2467 0.2467 0.5000
Ga 0.2520 0.7480 0.2500
Ga 0.7480 0.2520 0.7500
Ga 0.7533 0.7533 0.0000
Ga 0.7533 0.7533 0.5000
Ir 0.4659 0.5341 0.2500
Ir 0.5341 0.4659 0.7500
Ru 0.0421 0.9579 0.2500
Ru 0.9579 0.0421 0.7500

---

Question: Number 1 is which compound?
Answer: TaV3Os